# 1
Density functional theory data (PBE) for crystalline Cs3YPa3Se8 at its relaxed geometry.

a = 9.894 Å, b = 9.894 Å, c = 9.894 Å
α = 50.03°, β = 50.03°, γ = 50.03°
Fractional coordinates of all 15 atoms:
Cs 0.000 0.500 0.500
Cs 0.500 0.000 0.500
Cs 0.500 0.500 0.000
Y 0.500 0.500 0.500
Pa 0.000 0.000 0.500
Pa 0.000 0.500 0.000
Pa 0.500 0.000 0.000
Se 0.228 0.729 0.729
Se 0.230 0.230 0.230
Se 0.271 0.271 0.772
Se 0.271 0.772 0.271
Se 0.729 0.228 0.729
Se 0.729 0.729 0.228
Se 0.770 0.770 0.770
Se 0.772 0.271 0.271

## Properties
- M_tot (μB/f.u.) = 5.02
- D(E_F) (states/eV/f.u.) = 19.0
- space-group type = R-3m (166)
- energy relative to the elements, uncorrected (eV per atom) = -1.443

# 2
Density functional theory data (PBE) for crystalline Cs2Y2PaSe6 at its relaxed geometry.

a = 7.282 Å, b = 7.282 Å, c = 8.946 Å
α = 97.93°, β = 97.93°, γ = 119.98°
Fractional coordinates of all 11 atoms:
Cs 0.168 0.832 0.000
Cs 0.832 0.168 0.000
Y 0.333 0.667 0.500
Y 0.667 0.333 0.500
Pa 0.000 0.000 0.500
Se 0.062 0.392 0.683
Se 0.269 0.269 0.317
Se 0.392 0.062 0.683
Se 0.608 0.938 0.317
Se 0.731 0.731 0.683
Se 0.938 0.608 0.317

## Properties
- M_tot (μB/f.u.) = 1.07
- D(E_F) (states/eV/f.u.) = 1.9
- space-group type = C2/m (12)
- energy relative to the elements, uncorrected (eV per atom) = -1.672

# 3
Density functional theory data (PBE) for crystalline Cs2YPaSe4 at its relaxed geometry.

a = 7.383 Å, b = 4.237 Å, c = 8.792 Å
α = 90.00°, β = 106.04°, γ = 90.00°
Fractional coordinates of all 8 atoms:
Cs 0.000 0.000 0.000
Cs 0.500 0.500 0.000
Y 0.000 0.500 0.500
Pa 0.500 0.000 0.500
Se 0.230 0.000 0.687
Se 0.269 0.500 0.311
Se 0.731 0.500 0.689
Se 0.770 0.000 0.313

## Properties
- M_tot (μB/f.u.) = 1.87
- D(E_F) (states/eV/f.u.) = 7.8
- space-group type = P2/m (10)
- energy relative to the elements, uncorrected (eV per atom) = -1.493

What did the third record say?
Density functional theory data (PBE) for crystalline Cs2YPaSe4 at its relaxed geometry.

a = 7.383 Å, b = 4.237 Å, c = 8.792 Å
α = 90.00°, β = 106.04°, γ = 90.00°
Fractional coordinates of all 8 atoms:
Cs 0.000 0.000 0.000
Cs 0.500 0.500 0.000
Y 0.000 0.500 0.500
Pa 0.500 0.000 0.500
Se 0.230 0.000 0.687
Se 0.269 0.500 0.311
Se 0.731 0.500 0.689
Se 0.770 0.000 0.313

## Properties
- M_tot (μB/f.u.) = 1.87
- D(E_F) (states/eV/f.u.) = 7.8
- space-group type = P2/m (10)
- energy relative to the elements, uncorrected (eV per atom) = -1.493

> The highest energy relative to the elements, uncorrected belongs to which entry?

Cs3YPa3Se8

Copy entry 1 word for word.
Density functional theory data (PBE) for crystalline Cs3YPa3Se8 at its relaxed geometry.

a = 9.894 Å, b = 9.894 Å, c = 9.894 Å
α = 50.03°, β = 50.03°, γ = 50.03°
Fractional coordinates of all 15 atoms:
Cs 0.000 0.500 0.500
Cs 0.500 0.000 0.500
Cs 0.500 0.500 0.000
Y 0.500 0.500 0.500
Pa 0.000 0.000 0.500
Pa 0.000 0.500 0.000
Pa 0.500 0.000 0.000
Se 0.228 0.729 0.729
Se 0.230 0.230 0.230
Se 0.271 0.271 0.772
Se 0.271 0.772 0.271
Se 0.729 0.228 0.729
Se 0.729 0.729 0.228
Se 0.770 0.770 0.770
Se 0.772 0.271 0.271

## Properties
- M_tot (μB/f.u.) = 5.02
- D(E_F) (states/eV/f.u.) = 19.0
- space-group type = R-3m (166)
- energy relative to the elements, uncorrected (eV per atom) = -1.443